# 1
The following is a PBE calculation of an optimized crystal structure of AlZn2CuTe, from Alexandria via LeMat-Bulk.

**Theoretical density**: 5.5 g/cm3
**Calculated volume**: 21.11 Å³ per atom
**Magnetic moment**: 0.00 μB/f.u.
**E_tot**: -0.0917 hartree per atom
**ΔE_f (raw)**: 0.211 eV per atom
**E above lowest polymorph**: 0 meV/atom
**DOS(E_F)**: 2.50 states/eV per cell

extended XYZ file:
```
5
Lattice="4.6854 0.0000 0.0000 0.0000 4.6854 0.0000 0.0000 0.0000 4.8076" Properties=species:S:1:pos:R:3 pbc="T T T"
Al 0.0000 0.0000 0.0000
Zn 0.0000 2.3427 2.4038
Zn 2.3427 0.0000 2.4038
Cu 0.0000 0.0000 2.4038
Te 2.3427 2.3427 0.0000
```


# 2
The following is a PBE calculation of an optimized crystal structure of RbAcCuS2, from Alexandria via LeMat-Bulk.

**Theoretical density**: 4.5 g/cm3
**Calculated volume**: 32.43 Å³ per atom
**Magnetic moment**: 0.00 μB/f.u.
**E_tot**: -0.1680 hartree per atom
**ΔE_f (raw)**: -1.087 eV per atom
**DOS(E_F)**: 3.34 states/eV per cell

extended XYZ file:
```
10
Lattice="7.8289 0.0000 0.0000 0.0000 4.7872 0.0000 -1.7612 0.0000 8.6520" Properties=species:S:1:pos:R:3 pbc="T T T"
Rb -0.4403 0.8092 2.1630
Rb -1.3209 3.9780 6.4890
Ac 2.5936 2.3326 6.4890
Ac 3.4742 2.4546 2.1630
Cu 3.9145 0.0000 0.0000
Cu 3.0339 0.0000 4.3260
S 0.4535 1.4118 8.3416
S 1.3341 3.3755 4.0156
S 4.7337 1.4118 4.6364
S 5.6142 3.3755 0.3104
```


# 3
The following is a PBE calculation of an optimized crystal structure of TbSmTl4, from Alexandria via LeMat-Bulk.

**Theoretical density**: 11.0 g/cm3
**Calculated volume**: 28.39 Å³ per atom
**Formation energy from the elements**: -78 meV/atom
**Magnetic moment**: 0.00 μB/f.u.
**E_tot**: -0.1181 hartree per atom
**E above lowest polymorph**: 0 meV/atom
**DOS(E_F)**: 4.69 states/eV per cell

extended XYZ file:
```
6
Lattice="0.0000 4.3997 4.3997 4.3997 0.0000 4.3997 4.3997 4.3997 0.0000" Properties=species:S:1:pos:R:3 pbc="T T T"
Tb 0.0000 0.0000 0.0000
Sm 2.1998 2.1998 2.1998
Tl 5.4999 3.2995 3.2995
Tl 3.2995 5.4999 3.2995
Tl 3.2995 3.2995 5.4999
Tl 5.4999 5.4999 5.4999
```


# 4
The following is a PBE calculation of an optimized crystal structure of PaZnCo, from Alexandria via LeMat-Bulk.

**Theoretical density**: 11.3 g/cm3
**Calculated volume**: 17.34 Å³ per atom
**Formation energy from the elements**: -152 meV/atom
**Magnetic moment**: 0.13 μB/f.u.
**E_tot**: -0.2245 hartree per atom
**DOS(E_F)**: 3.03 states/eV per cell

extended XYZ file:
```
3
Lattice="4.3444 0.0000 0.0000 -2.1722 3.7623 0.0000 0.0000 0.0000 3.1826" Properties=species:S:1:pos:R:3 pbc="T T T"
Pa 0.0000 0.0000 0.0000
Zn 2.1722 1.2541 1.5913
Co 0.0000 2.5082 1.5913
```


# 5
The following is a PBE calculation of an optimized crystal structure of Si2OsPt, from Alexandria via LeMat-Bulk.

**Theoretical density**: 13.3 g/cm3
**Calculated volume**: 13.75 Å³ per atom
**Magnetic moment**: 0.00 μB/f.u.
**E_tot**: -0.2644 hartree per atom
**ΔE_f (raw)**: -0.165 eV per atom
**DOS(E_F)**: 2.33 states/eV per cell

extended XYZ file:
```
4
Lattice="2.8541 -3.1848 0.0000 2.8541 3.1848 0.0000 0.0000 0.0000 3.0253" Properties=species:S:1:pos:R:3 pbc="T T T"
Si 1.4270 1.5924 0.0000
Si 1.4270 -1.5924 0.0000
Os 0.0000 0.0000 1.5127
Pt 2.8541 0.0000 1.5127
```


# 6
The following is a PBE calculation of an optimized crystal structure of CoAsP2, from Alexandria via LeMat-Bulk.

**Theoretical density**: 5.8 g/cm3
**Calculated volume**: 14.05 Å³ per atom
**Formation energy from the elements**: 487 meV/atom
**Magnetic moment**: 0.00 μB/f.u.
**E_tot**: -0.1895 hartree per atom
**DOS(E_F)**: 2.62 states/eV per cell

extended XYZ file:
```
4
Lattice="2.6366 -3.4082 0.0000 2.6366 3.4082 0.0000 0.0000 0.0000 3.1282" Properties=species:S:1:pos:R:3 pbc="T T T"
Co 0.0000 0.0000 0.0000
As 2.6366 0.0000 0.0000
P 1.3183 1.7041 1.5641
P 1.3183 -1.7041 1.5641
```


# 7
The following is a PBE calculation of an optimized crystal structure of KTl5Hg6, from Alexandria via LeMat-Bulk.

**Theoretical density**: 10.7 g/cm3
**Calculated volume**: 29.35 Å³ per atom
**Formation energy from the elements**: -74 meV/atom
**Magnetic moment**: 0.00 μB/f.u.
**E_tot**: -0.0479 hartree per atom
**DOS(E_F)**: 4.05 states/eV per cell

extended XYZ file:
```
12
Lattice="4.9476 -8.0026 0.0000 4.9476 8.0026 0.0000 -2.7245 0.0000 4.4480" Properties=species:S:1:pos:R:3 pbc="T T T"
K 0.0000 0.0000 0.0000
Tl 3.5854 5.4456 2.2240
Tl 4.9476 2.7720 0.0000
Tl 3.5854 0.0000 2.2240
Tl 4.9476 -2.7720 0.0000
Tl 3.5854 -5.4456 2.2240
Hg 1.8739 2.7489 1.1599
Hg 0.5758 0.0000 3.4145
Hg 1.8739 -2.7489 1.1599
Hg 5.2968 2.7489 3.2881
Hg 6.5949 0.0000 1.0335
Hg 5.2968 -2.7489 3.2881
```


# 8
The following is a PBE calculation of an optimized crystal structure of ZrRe2WI, from Alexandria via LeMat-Bulk.

**Theoretical density**: 10.9 g/cm3
**Calculated volume**: 23.51 Å³ per atom
**Magnetic moment**: 0.00 μB/f.u.
**E_tot**: -0.2823 hartree per atom
**ΔE_f (raw)**: 1.907 eV per atom
**DOS(E_F)**: 6.28 states/eV per cell

extended XYZ file:
```
5
Lattice="4.7989 0.0000 0.0000 0.0000 4.7989 0.0000 0.0000 0.0000 5.1044" Properties=species:S:1:pos:R:3 pbc="T T T"
Zr 0.0000 0.0000 0.0000
Re 0.0000 2.3994 2.5522
Re 2.3994 0.0000 2.5522
W 2.3994 2.3994 2.5522
I 2.3994 2.3994 0.0000
```


# 9
The following is a PBE calculation of an optimized crystal structure of ScBe2Re, from Alexandria via LeMat-Bulk.

**Theoretical density**: 8.0 g/cm3
**Calculated volume**: 12.89 Å³ per atom
**Formation energy from the elements**: 64 meV/atom
**Magnetic moment**: 0.00 μB/f.u.
**E_tot**: -0.2386 hartree per atom
**E above lowest polymorph**: 213 meV/atom
**DOS(E_F)**: 2.02 states/eV per cell

extended XYZ file:
```
4
Lattice="2.7251 -3.4902 0.0000 2.7251 3.4902 0.0000 0.0000 0.0000 2.7105" Properties=species:S:1:pos:R:3 pbc="T T T"
Sc 0.0000 0.0000 0.0000
Be 1.3625 1.7451 1.3552
Be 1.3625 -1.7451 1.3552
Re 2.7251 0.0000 0.0000
```


# 10
The following is a PBE calculation of an optimized crystal structure of K6InBr8, from Alexandria via LeMat-Bulk.

**Theoretical density**: 2.9 g/cm3
**Calculated volume**: 37.81 Å³ per atom
**Magnetic moment**: 0.66 μB/f.u.
**E_tot**: -0.1101 hartree per atom
**ΔE_f (raw)**: -1.481 eV per atom
**DOS(E_F)**: 5.36 states/eV per cell

extended XYZ file:
```
15
Lattice="9.6432 0.0000 0.0000 -4.8216 8.3513 0.0000 0.0000 0.0000 7.0429" Properties=species:S:1:pos:R:3 pbc="T T T"
K -1.8125 3.1394 1.5184
K -3.0091 5.2119 5.5246
K 3.6250 0.0000 1.5184
K 1.8125 3.1394 5.5246
K 6.0182 0.0000 5.5246
K 3.0091 5.2119 1.5184
In 0.0000 0.0000 3.5215
Br -1.2945 2.2421 5.0099
Br -3.5272 6.1092 2.0331
Br 2.5889 0.0000 5.0099
Br 1.2945 2.2421 2.0331
Br 0.0000 5.5675 0.0000
Br 4.8216 2.7838 0.0000
Br 7.0543 0.0000 2.0331
Br 3.5272 6.1092 5.0099
```


# 11
The following is a PBE calculation of an optimized crystal structure of NdPtPb2O6, from Alexandria via LeMat-Bulk.

**Theoretical density**: 9.4 g/cm3
**Calculated volume**: 14.94 Å³ per atom
**Magnetic moment**: 0.00 μB/f.u.
**E_tot**: -0.2284 hartree per atom
**ΔE_f (raw)**: -1.418 eV per atom
**DOS(E_F)**: 11.01 states/eV per cell

extended XYZ file:
```
20
Lattice="5.8998 0.0000 0.0000 0.0000 6.0176 0.0000 -5.8898 0.0000 8.4188" Properties=species:S:1:pos:R:3 pbc="T T T"
Nd 0.0000 0.0000 0.0000
Nd -2.9449 3.0088 4.2094
Pt 0.0050 0.0000 4.2094
Pt 2.9499 3.0088 0.0000
Pb -2.9896 0.2348 6.3293
Pb -0.0447 2.7740 2.1199
Pb 0.0547 3.2436 6.2989
Pb 2.9996 5.7828 2.0895
O -1.6234 1.1137 3.7888
O -4.5683 1.8951 7.9982
O -1.0369 4.3349 3.8082
O -3.9818 4.6915 8.0176
O 0.5825 0.1863 2.2809
O -2.3624 2.8225 6.4903
O 2.3724 3.1951 1.9285
O -0.5725 5.8313 6.1379
O 3.9917 1.3261 0.4012
O 1.0468 1.6827 4.6107
O 4.5782 4.1225 0.4206
O 1.6333 4.9039 4.6300
```


# 12
The following is a PBE calculation of an optimized crystal structure of KSr2P, from Alexandria via LeMat-Bulk.

**Theoretical density**: 2.2 g/cm3
**Calculated volume**: 46.87 Å³ per atom
**Formation energy from the elements**: -443 meV/atom
**Magnetic moment**: 0.00 μB/f.u.
**E_tot**: -0.1070 hartree per atom
**DOS(E_F)**: 2.56 states/eV per cell

extended XYZ file:
```
4
Lattice="6.2493 -2.1020 0.0000 6.2493 2.1020 0.0000 -3.3603 0.0000 7.1356" Properties=species:S:1:pos:R:3 pbc="T T T"
K 0.0000 0.0000 0.0000
Sr -0.2090 0.0000 5.0995
Sr 3.1426 0.0000 2.0933
P 9.1165 0.0000 0.0230
```


# 13
The following is a PBE calculation of an optimized crystal structure of Pm2Sm5Tm12, from Alexandria via LeMat-Bulk.

**Theoretical density**: 8.6 g/cm3
**Calculated volume**: 31.35 Å³ per atom
**Formation energy from the elements**: 22 meV/atom
**Magnetic moment**: 0.00 μB/f.u.
**E_tot**: -0.1670 hartree per atom
**E above lowest polymorph**: 0 meV/atom
**DOS(E_F)**: 24.85 states/eV per cell

extended XYZ file:
```
19
Lattice="6.1286 0.0000 0.0000 -0.0143 9.3780 0.0000 -1.0320 -2.0325 10.3634" Properties=species:S:1:pos:R:3 pbc="T T T"
Pm -0.0036 2.0078 4.9086
Pm 5.0859 5.3377 5.4548
Sm 1.0076 8.0248 4.3596
Sm 2.0350 3.3477 0.5425
Sm 3.0643 0.0000 0.0000
Sm 3.0473 3.9978 9.8209
Sm 4.0747 -0.6793 6.0037
Tm -0.0056 0.6683 1.6247
Tm -0.0186 3.3257 8.1908
Tm 1.0063 6.6988 1.0839
Tm 1.0076 -0.0157 7.6490
Tm 2.0385 4.6790 3.8119
Tm 2.0165 6.0037 7.0962
Tm 3.0659 1.3418 3.2672
Tm 3.0438 2.6665 6.5514
Tm 4.0747 7.3611 2.7144
Tm 4.0761 0.6467 9.2794
Tm 5.1009 4.0198 2.1726
Tm 5.0879 6.6772 8.7387
```


# 14
The following is a PBE calculation of an optimized crystal structure of Tm5As2C, from Alexandria via LeMat-Bulk.

**Theoretical density**: 8.3 g/cm3
**Calculated volume**: 25.26 Å³ per atom
**Formation energy from the elements**: -627 meV/atom
**Magnetic moment**: 0.00 μB/f.u.
**E_tot**: -0.2108 hartree per atom
**DOS(E_F)**: 14.71 states/eV per cell

extended XYZ file:
```
16
Lattice="2.7216 -5.7509 0.0000 2.7216 5.7509 0.0000 0.0000 0.0000 12.9136" Properties=species:S:1:pos:R:3 pbc="T T T"
Tm 2.7216 5.0356 8.0836
Tm 2.7216 5.0356 11.2868
Tm 2.7216 2.3489 3.2284
Tm 2.7216 1.6936 7.8811
Tm 2.7216 1.6936 11.4893
Tm 2.7216 -1.6936 1.4243
Tm 2.7216 -1.6936 5.0325
Tm 2.7216 -2.3489 9.6852
Tm 2.7216 -5.0356 1.6268
Tm 2.7216 -5.0356 4.8300
As 2.7216 3.7174 0.8088
As 2.7216 3.7174 5.6480
As 2.7216 -3.7174 7.2656
As 2.7216 -3.7174 12.1047
C 2.7216 3.2930 9.6852
C 2.7216 -3.2930 3.2284
```


# 15
The following is a PBE calculation of an optimized crystal structure of Be2Au, from Alexandria via LeMat-Bulk.

**Theoretical density**: 9.7 g/cm3
**Calculated volume**: 12.27 Å³ per atom
**Formation energy from the elements**: 83 meV/atom
**Magnetic moment**: 0.00 μB/f.u.
**E_tot**: -0.1284 hartree per atom
**DOS(E_F)**: 1.86 states/eV per cell

extended XYZ file:
```
6
Lattice="-2.2096 2.2096 3.7697 2.2096 -2.2096 3.7697 2.2096 2.2096 -3.7697" Properties=species:S:1:pos:R:3 pbc="T T T"
Be 2.9977 0.7882 0.0000
Be 0.7882 1.4214 0.0000
Be 1.4214 0.7882 3.7697
Be -0.7882 1.4214 3.7697
Au 0.0000 0.0000 1.8848
Au 0.0000 0.0000 5.6545
```


# 16
The following is a PBE calculation of an optimized crystal structure of TaBeW2, from Alexandria via LeMat-Bulk.

**Theoretical density**: 15.0 g/cm3
**Calculated volume**: 15.46 Å³ per atom
**Formation energy from the elements**: 418 meV/atom
**Magnetic moment**: 0.00 μB/f.u.
**E_tot**: -0.3658 hartree per atom
**DOS(E_F)**: 3.84 states/eV per cell

extended XYZ file:
```
4
Lattice="1.4097 0.8139 8.9860 -1.4097 0.8139 8.9860 0.0000 -1.6277 8.9860" Properties=species:S:1:pos:R:3 pbc="T T T"
Ta 0.0000 0.0000 0.0000
Be 0.0000 0.0000 13.4791
W 0.0000 0.0000 6.4813
W 0.0000 0.0000 20.4768
```


# 17
The following is a PBE calculation of an optimized crystal structure of DyP2Pd7, from Alexandria via LeMat-Bulk.

**Theoretical density**: 9.9 g/cm3
**Calculated volume**: 16.31 Å³ per atom
**Formation energy from the elements**: -661 meV/atom
**Magnetic moment**: 0.00 μB/f.u.
**E_tot**: -0.2145 hartree per atom
**DOS(E_F)**: 5.19 states/eV per cell

extended XYZ file:
```
10
Lattice="-2.0231 2.0231 9.9622 2.0231 -2.0231 9.9622 2.0231 2.0231 -9.9622" Properties=species:S:1:pos:R:3 pbc="T T T"
Dy 0.0000 0.0000 0.0000
P 0.0000 0.0000 6.4750
P 0.0000 0.0000 13.4494
Pd 2.0231 0.0000 2.1575
Pd 2.0231 0.0000 4.9811
Pd 2.0231 0.0000 7.8047
Pd 0.0000 0.0000 9.9622
Pd 0.0000 2.0231 2.1575
Pd 0.0000 2.0231 4.9811
Pd 0.0000 2.0231 7.8047
```


# 18
The following is a PBE calculation of an optimized crystal structure of Pr3ThTe6, from Alexandria via LeMat-Bulk.

**Theoretical density**: 6.7 g/cm3
**Calculated volume**: 35.46 Å³ per atom
**Magnetic moment**: 0.00 μB/f.u.
**E_tot**: -0.1993 hartree per atom
**ΔE_f (raw)**: -1.362 eV per atom
**E above lowest polymorph**: 0 meV/atom
**DOS(E_F)**: 5.71 states/eV per cell

extended XYZ file:
```
20
Lattice="12.7705 0.0000 0.0000 0.0000 4.4458 0.0000 -4.0699 0.0000 12.4914" Properties=species:S:1:pos:R:3 pbc="T T T"
Pr 0.3986 1.1115 2.0466
Pr 0.2217 3.3344 6.3059
Pr 0.6190 1.1115 11.5877
Pr 8.0816 3.3344 0.9037
Pr 8.4789 1.1115 6.1854
Pr 8.3020 3.3344 10.4448
Th 4.5944 1.1115 3.8123
Th 4.1062 3.3344 8.6790
Te -1.3440 1.1115 4.7022
Te -2.4975 1.1115 11.5727
Te 2.1371 3.3344 3.5889
Te 0.9380 3.3344 9.3638
Te 2.8063 1.1115 6.6722
Te 4.8955 3.3344 1.3583
Te 3.8051 1.1115 11.1331
Te 5.8943 3.3344 5.8192
Te 7.7627 1.1115 3.1276
Te 6.5635 1.1115 8.9025
Te 11.1982 3.3344 0.9187
Te 10.0447 3.3344 7.7892
```


# 19
The following is a PBE calculation of an optimized crystal structure of ThGe2SbIr5, from Alexandria via LeMat-Bulk.

**Theoretical density**: 13.3 g/cm3
**Calculated volume**: 20.28 Å³ per atom
**Magnetic moment**: 0.00 μB/f.u.
**E_tot**: -0.2755 hartree per atom
**ΔE_f (raw)**: -0.265 eV per atom
**DOS(E_F)**: 5.33 states/eV per cell

extended XYZ file:
```
9
Lattice="4.0571 0.0000 0.0000 0.0000 4.0571 0.0000 0.0000 0.0000 11.0884" Properties=species:S:1:pos:R:3 pbc="T T T"
Th 0.0000 0.0000 0.0000
Ge 2.0285 2.0285 2.4374
Ge 2.0285 2.0285 8.6509
Sb 0.0000 0.0000 5.5442
Ir 0.0000 2.0285 3.8034
Ir 0.0000 2.0285 7.2849
Ir 2.0285 0.0000 3.8034
Ir 2.0285 0.0000 7.2849
Ir 2.0285 2.0285 0.0000
```


# 20
The following is a PBE calculation of an optimized crystal structure of Na2TlIrBr, from Alexandria via LeMat-Bulk.

**Theoretical density**: 4.7 g/cm3
**Calculated volume**: 36.76 Å³ per atom
**Magnetic moment**: 0.89 μB/f.u.
**E_tot**: -0.0982 hartree per atom
**ΔE_f (raw)**: 0.436 eV per atom
**E above lowest polymorph**: 0 meV/atom
**DOS(E_F)**: 4.71 states/eV per cell

extended XYZ file:
```
5
Lattice="6.0567 0.0000 0.0000 0.0000 6.0567 0.0000 0.0000 0.0000 5.0099" Properties=species:S:1:pos:R:3 pbc="T T T"
Na 0.0000 3.0284 0.0000
Na 3.0284 0.0000 0.0000
Tl 0.0000 0.0000 0.0000
Ir 0.0000 0.0000 2.5049
Br 3.0284 3.0284 2.5049
```